## BaTaSe2 (PBEsol)

Data for an optimized crystal structure of BaTaSe2.

Results
ΔE to the lowest computed polymorph   0.092 eV per atom
Density of states at the Fermi level   0.58 states/eV/atom
Raw formation energy   -2.8 eV per formula unit

Cell and atoms, written as CIF:
```
data_BaTaSe2
_chemical_formula_sum 'Ba2 Ta2 Se4'
_space_group_name_H-M_alt 'I m m m'
_space_group_IT_number 71
_space_group_name_Hall '-I 2 2'
_cell_length_a 3.656
_cell_length_b 6.449
_cell_length_c 9.009
_cell_angle_alpha 90.00
_cell_angle_beta 90.00
_cell_angle_gamma 90.00
loop_
_atom_site_label
_atom_site_type_symbol
_atom_site_fract_x
_atom_site_fract_y
_atom_site_fract_z
Ba1 Ba 0.000 0.000 0.000
Ta1 Ta 0.000 0.000 0.500
Se1 Se 0.000 0.500 0.196
```



## PrZn2Ga2 (PBEsol)

Data for an optimized crystal structure of PrZn2Ga2.

Results
Energy relative to the elements   -0.50 eV/atom
Density of states at the Fermi level   0.30 states/eV/atom

Cell and atoms, written as CIF:
```
data_PrZn2Ga2
_chemical_formula_sum 'Pr2 Zn4 Ga4'
_space_group_name_H-M_alt 'I 4/m m m'
_space_group_IT_number 139
_space_group_name_Hall '-I 4 2'
_cell_length_a 4.187
_cell_length_b 4.187
_cell_length_c 10.541
_cell_angle_alpha 90.00
_cell_angle_beta 90.00
_cell_angle_gamma 90.00
loop_
_atom_site_label
_atom_site_type_symbol
_atom_site_fract_x
_atom_site_fract_y
_atom_site_fract_z
Pr1 Pr 0.000 0.000 0.000
Zn1 Zn 0.000 0.000 0.386
Ga1 Ga 0.000 0.500 0.250
```



## TcSb (PBEsol)

Data for an optimized crystal structure of TcSb.

Results
ΔE to the lowest computed polymorph   0.234 eV per atom
Density of states at the Fermi level   0.80 states/eV/atom
Raw formation energy   0.6 eV per formula unit

Cell and atoms, written as CIF:
```
data_TcSb
_chemical_formula_sum 'Tc6 Sb6'
_space_group_name_H-M_alt 'R -3 m'
_space_group_IT_number 166
_space_group_name_Hall '-R 3 2"'
_cell_length_a 4.1012
_cell_length_b 4.1012
_cell_length_c 17.8278
_cell_angle_alpha 90.00
_cell_angle_beta 90.00
_cell_angle_gamma 120.00
loop_
_atom_site_label
_atom_site_type_symbol
_atom_site_fract_x
_atom_site_fract_y
_atom_site_fract_z
Tc1 Tc 0.0000 0.0000 0.1542
Sb1 Sb 0.0000 0.0000 0.4020
```



## AlZnCd2 (PBEsol)

Data for an optimized crystal structure of AlZnCd2.

Results
ΔE to the lowest computed polymorph   0.122 eV per atom
Energy relative to the elements   0.19 eV/atom
Density of states at the Fermi level   0.35 states/eV/atom

Cell and atoms, written as CIF:
```
data_AlZnCd2
_chemical_formula_sum 'Al4 Zn4 Cd8'
_space_group_name_H-M_alt 'F -4 3 m'
_space_group_IT_number 216
_space_group_name_Hall 'F -4 2 3'
_cell_length_a 6.728
_cell_length_b 6.728
_cell_length_c 6.728
_cell_angle_alpha 90.00
_cell_angle_beta 90.00
_cell_angle_gamma 90.00
loop_
_atom_site_label
_atom_site_type_symbol
_atom_site_fract_x
_atom_site_fract_y
_atom_site_fract_z
Al1 Al 0.000 0.000 0.000
Zn1 Zn 0.250 0.250 0.750
Cd1 Cd 0.000 0.000 0.500
Cd2 Cd 0.250 0.250 0.250
```



## BiTe2AsI (PBEsol)

Data for an optimized crystal structure of BiTe2AsI.

Results
Density of states at the Fermi level   0.73 states/eV/atom
Raw formation energy   1.7 eV per formula unit

Cell and atoms, written as CIF:
```
data_BiTe2AsI
_chemical_formula_sum 'Bi1 Te2 As1 I1'
_space_group_name_H-M_alt 'P 4/m m m'
_space_group_IT_number 123
_space_group_name_Hall '-P 4 2'
_cell_length_a 5.373
_cell_length_b 5.373
_cell_length_c 5.465
_cell_angle_alpha 90.00
_cell_angle_beta 90.00
_cell_angle_gamma 90.00
loop_
_atom_site_label
_atom_site_type_symbol
_atom_site_fract_x
_atom_site_fract_y
_atom_site_fract_z
Bi1 Bi 0.000 0.000 0.000
Te1 Te 0.000 0.500 0.500
As1 As 0.500 0.500 0.500
I1 I 0.500 0.500 0.000
```



## Ti2RePF (PBEsol)

Data for an optimized crystal structure of Ti2RePF.

Results
Density of states at the Fermi level   0.57 states/eV/atom
Raw formation energy   -0.5 eV per formula unit

Cell and atoms, written as CIF:
```
data_Ti2RePF
_chemical_formula_sum 'Ti2 Re1 P1 F1'
_space_group_name_H-M_alt 'P 4/m m m'
_space_group_IT_number 123
_space_group_name_Hall '-P 4 2'
_cell_length_a 3.975
_cell_length_b 3.975
_cell_length_c 4.204
_cell_angle_alpha 90.00
_cell_angle_beta 90.00
_cell_angle_gamma 90.00
loop_
_atom_site_label
_atom_site_type_symbol
_atom_site_fract_x
_atom_site_fract_y
_atom_site_fract_z
Ti1 Ti 0.000 0.500 0.000
Re1 Re 0.000 0.000 0.500
P1 P 0.500 0.500 0.500
F1 F 0.000 0.000 0.000
```



## Cu2TcHIr (PBEsol)

Data for an optimized crystal structure of Cu2TcHIr.

Results
Density of states at the Fermi level   1.14 states/eV/atom

Cell and atoms, written as CIF:
```
data_Cu2TcHIr
_chemical_formula_sum 'Cu2 Tc1 H1 Ir1'
_space_group_name_H-M_alt 'P 4/m m m'
_space_group_IT_number 123
_space_group_name_Hall '-P 4 2'
_cell_length_a 3.819
_cell_length_b 3.819
_cell_length_c 3.706
_cell_angle_alpha 90.00
_cell_angle_beta 90.00
_cell_angle_gamma 90.00
loop_
_atom_site_label
_atom_site_type_symbol
_atom_site_fract_x
_atom_site_fract_y
_atom_site_fract_z
Cu1 Cu 0.000 0.500 0.000
Tc1 Tc 0.000 0.000 0.500
H1 H 0.500 0.500 0.000
Ir1 Ir 0.500 0.500 0.500
```



## CaSeS2 (PBEsol)

Data for an optimized crystal structure of CaSeS2.

Results
Density of states at the Fermi level   0.68 states/eV/atom
Raw formation energy   -0.1 eV per formula unit

Cell and atoms, written as CIF:
```
data_CaSeS2
_chemical_formula_sum 'Ca3 Se3 S6'
_space_group_name_H-M_alt 'R -3 m'
_space_group_IT_number 166
_space_group_name_Hall '-R 3 2"'
_cell_length_a 3.9727
_cell_length_b 3.9727
_cell_length_c 23.4623
_cell_angle_alpha 90.00
_cell_angle_beta 90.00
_cell_angle_gamma 120.00
loop_
_atom_site_label
_atom_site_type_symbol
_atom_site_fract_x
_atom_site_fract_y
_atom_site_fract_z
Ca1 Ca 0.0000 0.0000 0.0000
Se1 Se 0.0000 0.0000 0.5000
S1 S 0.0000 0.0000 0.1148
```



Computed total energy, in the same sequence as the records: -6.303; -3.509; -7.626; -1.825; -3.293; -7.643; -6.227; -3.721 eV per atom.
Computed total magnetization, in the same sequence as the records: 0.001; 0.000; 0.000; 0.000; 0.000; 0.000; 0.455; 0.000 μB/f.u..